Record 1
Material: NbAl4Zn10
Method: DFT, PBE
State: optimized geometry

E_tot   -2.468 eV per atom
Symmetry   Immm
V   253.24 Å³ per cell

Cell: 6.744 6.994 6.994 Å, 76.63 61.18 61.17°
Positions (direct):
Nb1 0.000 0.000 0.000
Al1 0.225 0.995 0.555
Al2 0.775 0.445 0.006
Al3 0.225 0.555 0.994
Al4 0.775 0.005 0.445
Zn1 0.281 0.500 0.500
Zn2 0.699 0.214 0.786
Zn3 0.090 0.218 0.218
Zn4 0.525 0.782 0.782
Zn5 0.699 0.786 0.214
Zn6 0.301 0.786 0.214
Zn7 0.719 0.500 0.500
Zn8 0.301 0.214 0.786
Zn9 0.475 0.218 0.218
Zn10 0.910 0.782 0.782


Record 2
Material: Nb2Al2Zn
Method: DFT, PBE
State: optimized geometry

Energy above the most stable polymorph in this dataset   0.00 kcal/mol of atoms
E_tot   -5.861 eV per atom
Symmetry   P4/mbm
V   167.01 Å³ per cell

Cell: 6.637 6.637 3.791 Å, 90.00 90.00 90.00°
Positions (direct):
Nb1 0.172 0.672 0.500
Nb2 0.672 0.828 0.500
Nb3 0.828 0.328 0.500
Nb4 0.328 0.172 0.500
Zn1 0.000 0.000 0.000
Zn2 0.500 0.500 0.000
Al1 0.369 0.869 0.000
Al2 0.869 0.631 0.000
Al3 0.631 0.131 0.000
Al4 0.131 0.369 0.000


| no. | DFT formation energy (meV/atom) |
| --- | --- |
| 1 | 51 |
| 2 | -82 |